Record 1
First-principles (PBEsol) data for SrZrCd2 after structural relaxation, as listed in Alexandria.

Lattice parameters (Å, degrees): 5.6280 3.1271 6.3192 90.00 113.25 90.00
Closest atoms and distances in Å follow each position.
Space group P2/m (No. 10)
Unique sites:
Sr 0.0000 0.0000 0.0000 [1 per cell]  2 Sr 3.13, 6 Cd 3.16-3.22
Zr 0.5000 0.5000 0.5000 [1 per cell]  2 Zr 3.13, 6 Cd 3.16-3.22
Cd 0.0000 0.0000 0.5000 [1 per cell]  2 Cd 3.13, 2 Sr 3.16, 4 Zr 3.22
Cd 0.5000 0.5000 0.0000 [1 per cell]  2 Cd 3.13, 2 Zr 3.16, 4 Sr 3.22

Record 2
First-principles (PBEsol) data for SrLaAg2 after structural relaxation, as listed in Alexandria.

Lattice parameters (Å, degrees): 4.0861 4.8666 6.0620 90.00 109.63 90.00
Closest atoms and distances in Å follow each position.
Space group Pm (No. 6)
Unique sites:
Sr 0.0000 0.0000 0.0000 [1 per cell]  7 Ag 3.22-3.28
La 0.2778 0.5000 0.5568 [1 per cell]  7 Ag 3.14-3.33
Ag 0.5697 0.5000 0.1396 [1 per cell]  2 Ag 2.96, 2 La 3.14, 4 Sr 3.28
Ag 0.7171 0.0000 0.4362 [1 per cell]  2 Ag 2.96, 3 Sr 3.22, 4 La 3.25

| no. | ΔE_f (eV/atom) |
| --- | --- |
| 1 | 0.1835 |
| 2 | -0.2205 |